Entry from the Alexandria database: a relaxed structure of SrSe2NF (PBE).

abc: 4.4928 4.4928 5.0883
angles: 90.00 90.00 90.00
Last column: nearest neighbours and their distance in Å.
Element x y z (fractional)
Sr 0.0000 0.0000 0.0000  4 N 3.18, 8 Se 3.39
Se 0.0000 0.5000 0.5000  2 F 2.25
Se 0.5000 0.0000 0.5000  2 F 2.25
N 0.5000 0.5000 0.0000  2 F 2.54
F 0.5000 0.5000 0.5000  4 Se 2.25

Summary:
For the energy relative to the lowest polymorph listed for this composition, the calculation gives 0.00 eV per formula unit. The calculation puts the uncorrected formation energy at 56 kJ/mol of formula units. As for the symmetry: P4/mmm, No. 123.